[1]
Cr2ReAu: optimized geometry, PBE-GGA.

The structure in POSCAR format:
```
Cr2ReAu
1.0
4.738 0.033 0.000
1.652 4.440 0.000
-3.195 -2.236 2.690
Au Cr Re
1 2 1
direct
0.750 0.250 0.500
0.000 0.000 0.000
0.250 0.750 0.500
0.500 0.500 0.000
```

Values from the calculation:
Offset from the most stable computed form   114 meV/atom
Symmetry   No. 119


[2]
CrReAu: optimized geometry, PBE-GGA.

The structure in POSCAR format:
```
CrReAu
1.0
7.089 -0.024 0.018
6.389 2.595 0.012
0.700 -0.837 2.482
Au Cr Re
1 1 1
direct
0.995 0.995 0.005
0.322 0.322 0.678
0.683 0.683 0.317
```

Values from the calculation:
Offset from the most stable computed form   29 meV/atom
Symmetry   No. 42


[3]
CrRe2Au: optimized geometry, PBE-GGA.

The structure in POSCAR format:
```
CrRe2Au
1.0
4.775 -0.002 -0.001
3.951 2.682 -0.001
0.890 0.273 4.693
Au Cr Re
1 1 2
direct
0.497 0.497 0.509
0.741 0.741 0.768
0.006 0.006 0.001
0.256 0.256 0.222
```

Values from the calculation:
Offset from the most stable computed form   98 meV/atom
Symmetry   No. 8


[4]
CrRe2Au: optimized geometry, PBE-GGA.

The structure in POSCAR format:
```
CrRe2Au
1.0
3.771 0.000 0.000
0.000 3.771 0.000
1.886 1.886 9.491
Re Au Cr
4 2 2
direct
0.587 0.125 0.250
0.163 0.625 0.250
0.375 0.413 0.750
0.875 0.837 0.750
0.000 0.000 0.000
0.750 0.250 0.500
0.500 0.500 0.000
0.250 0.750 0.500
```

Values from the calculation:
Offset from the most stable computed form   538 meV/atom
Symmetry   No. 122


[5]
CrReAu: optimized geometry, PBE-GGA.

The structure in POSCAR format:
```
CrReAu
1.0
-0.710 -0.887 -3.985
3.109 -1.277 -2.424
0.131 -3.931 -1.303
Au Cr Re
1 1 1
direct
0.500 0.500 0.500
0.750 0.750 0.750
0.000 0.000 0.000
```

Values from the calculation:
Offset from the most stable computed form   406 meV/atom
Symmetry   No. 216


[6]
CrRe2Au: optimized geometry, PBE-GGA.

The structure in POSCAR format:
```
CrRe2Au
1.0
-8.916 -1.383 -1.836
-8.762 -2.776 0.551
-9.190 -0.042 0.570
Au Cr Re
1 1 2
direct
0.250 0.250 0.250
0.750 0.750 0.750
0.008 0.008 0.008
0.492 0.492 0.492
```

Values from the calculation:
Offset from the most stable computed form   42 meV/atom
Symmetry   No. 166


[7]
CrReAu4: optimized geometry, PBE-GGA.

The structure in POSCAR format:
```
CrReAu4
1.0
0.000 3.819 3.819
3.819 0.000 3.819
3.819 3.819 0.000
Cr Re Au
1 1 4
direct
0.250 0.250 0.250
0.000 0.000 0.000
0.625 0.625 0.125
0.625 0.125 0.625
0.625 0.625 0.625
0.125 0.625 0.625
```

Values from the calculation:
Symmetry   No. 216


[8]
CrRe2Au: optimized geometry, PBE-GGA.

The structure in POSCAR format:
```
CrRe2Au
1.0
0.000 3.104 3.104
3.104 0.000 3.104
3.104 3.104 0.000
Re Au Cr
2 1 1
direct
0.250 0.250 0.250
0.750 0.750 0.750
0.500 0.500 0.500
0.000 0.000 0.000
```

Values from the calculation:
Offset from the most stable computed form   392 meV/atom
Symmetry   No. 225


These records have D(E_F) values of 4.3 2.8 3.6 6.4 1.4 4.8 3.4 2.5 states/eV per cell, in the order they appear.
These records have E_form values of 0.360 0.372 0.364 0.804 0.749 0.308 0.733 0.658 eV per atom, in the order they appear.
These records have density values of 14.33 15.71 17.15 15.29 14.36 17.15 15.29 17.25 g cm⁻³, in the order they appear.